Entry from the Alexandria database: LiLuInGe after structural relaxation (PBE).

E   -15.1 eV for the cell shown
M_tot   0.00 μB per formula unit

a = 4.943 Å, b = 4.943 Å, c = 4.943 Å
α = 60.00°, β = 60.00°, γ = 60.00°
Sites, in units of the cell vectors:
Li (0.000, 0.000, 0.000)
Lu (0.500, 0.500, 0.500)
In (0.750, 0.750, 0.750)
Ge (0.250, 0.250, 0.250)



Entry from the Alexandria database: ScNiOs after structural relaxation (PBE).

E   -22.7 eV for the cell shown
M_tot   1.40 μB per formula unit
Energy above the most stable polymorph in this dataset   667 meV/atom

a = 4.162 Å, b = 4.162 Å, c = 4.162 Å
α = 60.00°, β = 60.00°, γ = 60.00°
Sites, in units of the cell vectors:
Sc (0.000, 0.000, 0.000)
Ni (0.250, 0.250, 0.250)
Os (0.500, 0.500, 0.500)



Entry from the Alexandria database: Zr2MnCdC after structural relaxation (PBE).

E   -37.8 eV for the cell shown
M_tot   0.00 μB per formula unit

a = 4.677 Å, b = 4.677 Å, c = 3.763 Å
α = 90.00°, β = 90.00°, γ = 90.00°
Sites, in units of the cell vectors:
Zr (0.000, 0.500, 0.000)
Zr (0.500, 0.000, 0.000)
Mn (0.000, 0.000, 0.500)
Cd (0.500, 0.500, 0.500)
C (0.000, 0.000, 0.000)



Entry from the Alexandria database: InAs2P after structural relaxation (PBE).

E   -15.8 eV for the cell shown
M_tot   0.00 μB per formula unit
Energy above the most stable polymorph in this dataset   393 meV/atom

a = 3.068 Å, b = 3.068 Å, c = 9.319 Å
α = 90.00°, β = 90.00°, γ = 107.03°
Sites, in units of the cell vectors:
In (0.000, 0.000, 0.000)
As (0.000, 0.000, 0.533)
As (0.500, 0.500, 0.261)
P (0.500, 0.500, 0.710)



Entry from the Alexandria database: Zr2IrC after structural relaxation (PBE).

E   -71.7 eV for the cell shown
M_tot   0.00 μB per formula unit
Energy above the most stable polymorph in this dataset   0 meV/atom

a = 5.745 Å, b = 5.745 Å, c = 5.745 Å
α = 112.83°, β = 112.83°, γ = 102.94°
Sites, in units of the cell vectors:
Zr (0.066, 0.625, 0.941)
Zr (0.375, 0.316, 0.441)
Zr (0.684, 0.125, 0.059)
Zr (0.875, 0.934, 0.559)
Ir (0.250, 0.750, 0.500)
Ir (0.500, 0.500, 0.000)
C (0.000, 0.000, 0.000)
C (0.750, 0.250, 0.500)



Entry from the Alexandria database: Cs3CN3 after structural relaxation (PBE).

E   -72.6 eV for the cell shown
M_tot   0.09 μB per formula unit
E_form (uncorrected)   64 meV per atom

a = 10.741 Å, b = 10.741 Å, c = 4.879 Å
α = 90.00°, β = 90.00°, γ = 120.00°
Sites, in units of the cell vectors:
Cs (0.117, 0.681, 0.250)
Cs (0.319, 0.435, 0.250)
Cs (0.435, 0.117, 0.750)
Cs (0.565, 0.883, 0.250)
Cs (0.681, 0.565, 0.750)
Cs (0.883, 0.319, 0.750)
C (0.333, 0.667, 0.750)
C (0.667, 0.333, 0.250)
N (0.204, 0.547, 0.750)
N (0.343, 0.796, 0.750)
N (0.453, 0.657, 0.750)
N (0.547, 0.343, 0.250)
N (0.657, 0.204, 0.250)
N (0.796, 0.453, 0.250)



Entry from the Alexandria database: Na3FeI after structural relaxation (PBE).

E   -11.9 eV for the cell shown
M_tot   3.01 μB per formula unit
Energy above the most stable polymorph in this dataset   30 meV/atom
E_form (uncorrected)   421 meV per atom

a = 5.920 Å, b = 5.920 Å, c = 5.920 Å
α = 90.00°, β = 90.00°, γ = 90.00°
Sites, in units of the cell vectors:
Na (0.000, 0.000, 0.500)
Na (0.000, 0.500, 0.000)
Na (0.500, 0.000, 0.000)
Fe (0.500, 0.500, 0.500)
I (0.000, 0.000, 0.000)



Entry from the Alexandria database: Dy3Ag2Hg7 after structural relaxation (PBE).

E   -24.2 eV for the cell shown
M_tot   0.00 μB per formula unit

a = 5.003 Å, b = 3.518 Å, c = 16.842 Å
α = 90.00°, β = 96.19°, γ = 90.00°
Sites, in units of the cell vectors:
Dy (0.000, 0.000, 0.000)
Dy (0.294, 0.500, 0.623)
Dy (0.706, 0.500, 0.377)
Ag (0.173, 0.000, 0.292)
Ag (0.827, 0.000, 0.708)
Hg (0.115, 0.500, 0.148)
Hg (0.234, 0.000, 0.456)
Hg (0.360, 0.000, 0.791)
Hg (0.500, 0.500, 0.000)
Hg (0.640, 0.000, 0.209)
Hg (0.766, 0.000, 0.544)
Hg (0.885, 0.500, 0.852)



Entry from the Alexandria database: SrTeSeN2 after structural relaxation (PBE).

E   -20.2 eV for the cell shown
M_tot   1.97 μB per formula unit
Energy above the most stable polymorph in this dataset   534 meV/atom
E_form (uncorrected)   943 meV per atom

a = 4.362 Å, b = 4.362 Å, c = 5.563 Å
α = 90.00°, β = 90.00°, γ = 90.00°
Sites, in units of the cell vectors:
Sr (0.000, 0.000, 0.000)
Te (0.500, 0.500, 0.000)
Se (0.500, 0.500, 0.500)
N (0.000, 0.500, 0.500)
N (0.500, 0.000, 0.500)



Entry from the Alexandria database: Pr2CuSbS5 after structural relaxation (PBE).

E   -97.9 eV for the cell shown
M_tot   0.00 μB per formula unit
E_form (uncorrected)   -1171 meV per atom

a = 8.996 Å, b = 8.996 Å, c = 11.861 Å
α = 90.00°, β = 90.00°, γ = 154.12°
Sites, in units of the cell vectors:
Pr (0.117, 0.883, 0.500)
Pr (0.125, 0.875, 0.127)
Pr (0.875, 0.125, 0.627)
Pr (0.883, 0.117, 0.000)
Cu (0.251, 0.749, 0.933)
Cu (0.749, 0.251, 0.433)
Sb (0.407, 0.593, 0.298)
Sb (0.593, 0.407, 0.798)
S (0.034, 0.966, 0.907)
S (0.301, 0.699, 0.129)
S (0.307, 0.693, 0.472)
S (0.355, 0.645, 0.817)
S (0.496, 0.504, 0.114)
S (0.504, 0.496, 0.614)
S (0.645, 0.355, 0.317)
S (0.693, 0.307, 0.972)
S (0.699, 0.301, 0.629)
S (0.966, 0.034, 0.407)